Entry 1:
This record from Alexandria describes a geometry-optimized HgAu structure. The functional is PBE-GGA.

Summary:
space-group type: Cm (8)
E: -1.699 eV/atom
ΔE_f: 8.7 kJ per mole of atoms
magnetic moment: 0.00 μB/f.u.

a = 3.089 Å, b = 5.869 Å, c = 7.822 Å
α = 113.74°, β = 90.00°, γ = 105.26°
Fractional coordinates of all 6 atoms:
Au 0.305 0.611 0.695
Hg 0.703 0.407 0.344
Au 0.424 0.847 0.250
Hg 0.013 0.025 0.598
Hg 0.716 0.431 0.948
Au 0.006 0.012 0.999



Entry 2:
This record from Alexandria describes a geometry-optimized LaTb5Ho6 structure. The functional is PBE-GGA.

Summary:
space-group type: C2/m (12)
E: -4.610 eV/atom
ΔE_f: 1.8 kJ per mole of atoms
magnetic moment: 0.00 μB/f.u.

a = 11.781 Å, b = 6.168 Å, c = 6.165 Å
α = 59.99°, β = 85.01°, γ = 79.99°
Fractional coordinates of all 12 atoms:
Ho 0.252 0.251 0.000
Tb 0.500 0.167 0.666
Tb 0.000 0.333 0.333
Ho 0.748 0.419 0.666
Tb 0.500 0.500 0.000
Ho 0.252 0.581 0.334
Tb 0.000 0.667 0.667
Ho 0.748 0.749 0.000
Tb 0.500 0.833 0.334
Ho 0.252 0.916 0.666
Ho 0.748 0.084 0.334
La 0.000 0.000 0.000



Entry 3:
This record from Alexandria describes a geometry-optimized YGePS2 structure. The functional is PBE-GGA.

Summary:
uncorrected formation energy: 0.62 eV/f.u.
space-group type: P4/mmm (123)
E: -4.825 eV/atom
magnetic moment: 0.00 μB/f.u.

a = 5.164 Å, b = 5.164 Å, c = 5.295 Å
α = 90.00°, β = 90.00°, γ = 90.00°
Fractional coordinates of all 5 atoms:
S 0.000 0.500 0.000
P 0.000 0.000 0.500
Ge 0.500 0.500 0.500
S 0.500 0.000 0.000
Y 0.000 0.000 0.000



Entry 4:
This record from Alexandria describes a geometry-optimized Na3TlTe structure. The functional is PBE-GGA.

Summary:
uncorrected formation energy: 0.42 eV/f.u.
space-group type: Pm-3m (221)
E: -1.808 eV/atom
magnetic moment: 0.00 μB/f.u.

a = 5.725 Å, b = 5.725 Å, c = 5.725 Å
α = 90.00°, β = 90.00°, γ = 90.00°
Fractional coordinates of all 5 atoms:
Na 0.000 0.500 0.000
Tl 0.000 0.000 0.000
Na 0.000 0.000 0.500
Na 0.500 0.000 0.000
Te 0.500 0.500 0.500



Entry 5:
This record from Alexandria describes a geometry-optimized CdAuN3 structure. The functional is PBE-GGA.

Summary:
uncorrected formation energy: 13.13 eV/f.u.
space-group type: Pm-3m (221)
E: -3.208 eV/atom
magnetic moment: 4.26 μB/f.u.

a = 4.229 Å, b = 4.229 Å, c = 4.229 Å
α = 90.00°, β = 90.00°, γ = 90.00°
Fractional coordinates of all 5 atoms:
N 0.500 0.000 0.000
N 0.000 0.000 0.500
Au 0.500 0.500 0.500
Cd 0.000 0.000 0.000
N 0.000 0.500 0.000



Entry 6:
This record from Alexandria describes a geometry-optimized Mg3PtAu structure. The functional is PBE-GGA.

Summary:
space-group type: Fmmm (69)
E: -3.455 eV/atom
ΔE_f: -61.2 kJ per mole of atoms
magnetic moment: 0.00 μB/f.u.

a = 5.222 Å, b = 5.222 Å, c = 8.085 Å
α = 101.46°, β = 101.46°, γ = 112.62°
Fractional coordinates of all 10 atoms:
Mg 0.694 0.194 0.888
Mg 0.306 0.806 0.112
Au 0.731 0.231 0.500
Mg 0.912 0.794 0.706
Au 0.269 0.769 0.500
Mg 0.088 0.206 0.294
Pt 0.750 0.750 0.000
Pt 0.250 0.250 0.000
Mg 0.294 0.412 0.706
Mg 0.706 0.588 0.294